Record 1
This record from Alexandria describes a relaxed structure of La2HoAl. The functional is PBE.

a = 4.851 Å, b = 4.851 Å, c = 4.998 Å
α = 90.00°, β = 90.00°, γ = 90.00°
Atoms (fractional coordinates):
La1 0.000 0.500 0.000
La2 0.500 0.000 0.000
Ho1 0.000 0.000 0.500
Al1 0.500 0.500 0.500

- E_tot: -4.71 eV/atom
- Total magnetic moment: 0.00 μB/f.u.
- Offset from the most stable computed form: 19 meV/atom

Record 2
This record from Alexandria describes a relaxed structure of SrMnSb3. The functional is PBE.

a = 5.139 Å, b = 5.139 Å, c = 5.139 Å
α = 90.00°, β = 90.00°, γ = 90.00°
Atoms (fractional coordinates):
Sr1 0.000 0.000 0.000
Mn1 0.500 0.500 0.500
Sb1 0.000 0.500 0.500
Sb2 0.500 0.000 0.500
Sb3 0.500 0.500 0.000

- E_tot: -4.64 eV/atom
- ΔE_f (raw): 0.04 eV per formula unit
- Total magnetic moment: 0.00 μB/f.u.
- Offset from the most stable computed form: 0 meV/atom